First-principles (PBE) data for crystalline BePd3Au at its relaxed geometry, as listed in Alexandria.

The structure in CIF format:
```
data_BePd3Au
_chemical_formula_sum 'Be4 Pd12 Au4'
_symmetry_space_group_name_H-M 'C m c m'
_symmetry_Int_Tables_number 63
_symmetry_space_group_name_Hall '-C 2c 2'
_cell_length_a 6.058
_cell_length_b 8.489
_cell_length_c 5.786
_cell_angle_alpha 90.00
_cell_angle_beta 90.00
_cell_angle_gamma 90.00
loop_
_atom_site_label
_atom_site_type_symbol
_atom_site_fract_x
_atom_site_fract_y
_atom_site_fract_z
Be1 Be 0.000 0.007 0.250
Pd1 Pd 0.000 0.261 0.250
Pd2 Pd 0.229 0.500 0.000
Au1 Au 0.000 0.259 0.750
```

Volume in Å³ per atom: 14.88
ΔH_f (0 K) in eV/atom: -0.189
Total DFT energy (no corrections) in eV/atom: -4.71
Energy above the lowest structure with this stoichiometry in eV per atom: 0.0712

First-principles (PBE) data for crystalline PmBe2Pd5Au at its relaxed geometry, as listed in Alexandria.

The structure in CIF format:
```
data_PmBe2Pd5Au
_chemical_formula_sum 'Pm1 Be2 Pd5 Au1'
_symmetry_space_group_name_H-M 'P 4/m m m'
_symmetry_Int_Tables_number 123
_symmetry_space_group_name_Hall '-P 4 2'
_cell_length_a 4.456
_cell_length_b 4.456
_cell_length_c 7.276
_cell_angle_alpha 90.00
_cell_angle_beta 90.00
_cell_angle_gamma 90.00
loop_
_atom_site_label
_atom_site_type_symbol
_atom_site_fract_x
_atom_site_fract_y
_atom_site_fract_z
Pm1 Pm 0.000 0.000 0.000
Be1 Be 0.500 0.500 0.332
Pd1 Pd 0.000 0.500 0.274
Pd2 Pd 0.500 0.500 0.000
Au1 Au 0.000 0.000 0.500
```

Volume in Å³ per atom: 16.06
ΔH_f (0 K) in eV/atom: -0.433
Total DFT energy (no corrections) in eV/atom: -5.04

First-principles (PBE) data for crystalline Pm3Be2Pd9Au at its relaxed geometry, as listed in Alexandria.

The structure in CIF format:
```
data_Pm3Be2Pd9Au
_chemical_formula_sum 'Pm3 Be2 Pd9 Au1'
_symmetry_space_group_name_H-M 'P -3 m 1'
_symmetry_Int_Tables_number 164
_symmetry_space_group_name_Hall '-P 3 2"'
_cell_length_a 5.9319
_cell_length_b 5.9319
_cell_length_c 9.5043
_cell_angle_alpha 90.00
_cell_angle_beta 90.00
_cell_angle_gamma 120.00
loop_
_atom_site_label
_atom_site_type_symbol
_atom_site_fract_x
_atom_site_fract_y
_atom_site_fract_z
Pm1 Pm 0.0000 0.0000 0.0000
Pm2 Pm 0.3333 0.6667 0.6910
Be1 Be 0.3333 0.6667 0.1456
Pd1 Pd 0.0000 0.5000 0.0000
Pd2 Pd 0.1595 0.3190 0.2717
Au1 Au 0.0000 0.0000 0.5000
```

Volume in Å³ per atom: 19.31
ΔH_f (0 K) in eV/atom: -0.591
Total DFT energy (no corrections) in eV/atom: -5.37

First-principles (PBE) data for crystalline Pm2BePd6Au at its relaxed geometry, as listed in Alexandria.

The structure in CIF format:
```
data_Pm2BePd6Au
_chemical_formula_sum 'Pm2 Be1 Pd6 Au1'
_symmetry_space_group_name_H-M 'P -1'
_symmetry_Int_Tables_number 2
_symmetry_space_group_name_Hall '-P 1'
_cell_length_a 5.707
_cell_length_b 5.774
_cell_length_c 7.205
_cell_angle_alpha 70.27
_cell_angle_beta 69.29
_cell_angle_gamma 61.90
loop_
_atom_site_label
_atom_site_type_symbol
_atom_site_fract_x
_atom_site_fract_y
_atom_site_fract_z
Pm1 Pm 0.231 0.231 0.201
Be1 Be 0.500 0.500 0.500
Pd1 Pd 0.154 0.684 0.361
Pd2 Pd 0.290 0.291 0.753
Pd3 Pd 0.319 0.851 0.633
Au1 Au 0.000 0.000 0.000
```

Volume in Å³ per atom: 19.16
ΔH_f (0 K) in eV/atom: -0.579
Total DFT energy (no corrections) in eV/atom: -5.35

First-principles (PBE) data for crystalline Pm2BePdAu6 at its relaxed geometry, as listed in Alexandria.

The structure in CIF format:
```
data_Pm2BePdAu6
_chemical_formula_sum 'Pm2 Be1 Pd1 Au6'
_symmetry_space_group_name_H-M 'P -1'
_symmetry_Int_Tables_number 2
_symmetry_space_group_name_Hall '-P 1'
_cell_length_a 5.470
_cell_length_b 6.402
_cell_length_c 7.215
_cell_angle_alpha 76.03
_cell_angle_beta 67.93
_cell_angle_gamma 64.82
loop_
_atom_site_label
_atom_site_type_symbol
_atom_site_fract_x
_atom_site_fract_y
_atom_site_fract_z
Pm1 Pm 0.209 0.267 0.318
Be1 Be 0.000 0.000 0.000
Pd1 Pd 0.500 0.500 0.500
Au1 Au 0.224 0.810 0.242
Au2 Au 0.245 0.612 0.898
Au3 Au 0.278 0.190 0.761
```

Volume in Å³ per atom: 21.09
ΔH_f (0 K) in eV/atom: -0.464
Total DFT energy (no corrections) in eV/atom: -4.27

First-principles (PBE) data for crystalline PmBe2PdAu5 at its relaxed geometry, as listed in Alexandria.

The structure in CIF format:
```
data_PmBe2PdAu5
_chemical_formula_sum 'Pm1 Be2 Pd1 Au5'
_symmetry_space_group_name_H-M 'P 4/m m m'
_symmetry_Int_Tables_number 123
_symmetry_space_group_name_Hall '-P 4 2'
_cell_length_a 4.708
_cell_length_b 4.708
_cell_length_c 7.149
_cell_angle_alpha 90.00
_cell_angle_beta 90.00
_cell_angle_gamma 90.00
loop_
_atom_site_label
_atom_site_type_symbol
_atom_site_fract_x
_atom_site_fract_y
_atom_site_fract_z
Pm1 Pm 0.000 0.000 0.000
Be1 Be 0.500 0.500 0.337
Pd1 Pd 0.000 0.000 0.500
Au1 Au 0.000 0.500 0.285
Au2 Au 0.500 0.500 0.000
```

Volume in Å³ per atom: 17.61
ΔH_f (0 K) in eV/atom: -0.258
Total DFT energy (no corrections) in eV/atom: -4.01

First-principles (PBE) data for crystalline Pm2BePd4Au2 at its relaxed geometry, as listed in Alexandria.

The structure in CIF format:
```
data_Pm2BePd4Au2
_chemical_formula_sum 'Pm4 Be2 Pd8 Au4'
_symmetry_space_group_name_H-M 'I 4/m m m'
_symmetry_Int_Tables_number 139
_symmetry_space_group_name_Hall '-I 4 2'
_cell_length_a 6.199
_cell_length_b 6.199
_cell_length_c 8.632
_cell_angle_alpha 90.00
_cell_angle_beta 90.00
_cell_angle_gamma 90.00
loop_
_atom_site_label
_atom_site_type_symbol
_atom_site_fract_x
_atom_site_fract_y
_atom_site_fract_z
Pm1 Pm 0.000 0.500 0.250
Be1 Be 0.000 0.000 0.000
Pd1 Pd 0.237 0.237 0.500
Au1 Au 0.000 0.000 0.264
```

Volume in Å³ per atom: 18.43
ΔH_f (0 K) in eV/atom: -0.699
Total DFT energy (no corrections) in eV/atom: -5.20

First-principles (PBE) data for crystalline Pr3Be2Pd9Au at its relaxed geometry, as listed in Alexandria.

The structure in CIF format:
```
data_Pr3Be2Pd9Au
_chemical_formula_sum 'Pr3 Be2 Pd9 Au1'
_symmetry_space_group_name_H-M 'P -3 m 1'
_symmetry_Int_Tables_number 164
_symmetry_space_group_name_Hall '-P 3 2"'
_cell_length_a 6.8472
_cell_length_b 6.8472
_cell_length_c 7.1352
_cell_angle_alpha 90.00
_cell_angle_beta 90.00
_cell_angle_gamma 120.00
loop_
_atom_site_label
_atom_site_type_symbol
_atom_site_fract_x
_atom_site_fract_y
_atom_site_fract_z
Pr1 Pr 0.0000 0.0000 0.0000
Pr2 Pr 0.3333 0.6667 0.6644
Be1 Be 0.3333 0.6667 0.1225
Pd1 Pd 0.0000 0.5000 0.0000
Pd2 Pd 0.1918 0.3835 0.3178
Au1 Au 0.0000 0.0000 0.5000
```

Volume in Å³ per atom: 19.31
ΔH_f (0 K) in eV/atom: -0.517
Total DFT energy (no corrections) in eV/atom: -5.30

First-principles (PBE) data for crystalline PrBe2Pd5Au at its relaxed geometry, as listed in Alexandria.

The structure in CIF format:
```
data_PrBe2Pd5Au
_chemical_formula_sum 'Pr1 Be2 Pd5 Au1'
_symmetry_space_group_name_H-M 'P 4/m m m'
_symmetry_Int_Tables_number 123
_symmetry_space_group_name_Hall '-P 4 2'
_cell_length_a 4.486
_cell_length_b 4.486
_cell_length_c 7.275
_cell_angle_alpha 90.00
_cell_angle_beta 90.00
_cell_angle_gamma 90.00
loop_
_atom_site_label
_atom_site_type_symbol
_atom_site_fract_x
_atom_site_fract_y
_atom_site_fract_z
Pr1 Pr 0.000 0.000 0.000
Be1 Be 0.500 0.500 0.331
Pd1 Pd 0.000 0.500 0.277
Pd2 Pd 0.500 0.500 0.000
Au1 Au 0.000 0.000 0.500
```

Volume in Å³ per atom: 16.26
ΔH_f (0 K) in eV/atom: -0.414
Total DFT energy (no corrections) in eV/atom: -5.02

First-principles (PBE) data for crystalline Pr2Be2Pd5Au at its relaxed geometry, as listed in Alexandria.

The structure in CIF format:
```
data_Pr2Be2Pd5Au
_chemical_formula_sum 'Pr4 Be4 Pd10 Au2'
_symmetry_space_group_name_H-M 'P 4/m b m'
_symmetry_Int_Tables_number 127
_symmetry_space_group_name_Hall '-P 4 2ab'
_cell_length_a 9.648
_cell_length_b 9.648
_cell_length_c 3.682
_cell_angle_alpha 90.00
_cell_angle_beta 90.00
_cell_angle_gamma 90.00
loop_
_atom_site_label
_atom_site_type_symbol
_atom_site_fract_x
_atom_site_fract_y
_atom_site_fract_z
Pr1 Pr 0.184 0.316 0.000
Be1 Be 0.111 0.611 0.000
Pd1 Pd 0.000 0.500 0.500
Pd2 Pd 0.066 0.781 0.500
Au1 Au 0.000 0.000 0.000
```

Volume in Å³ per atom: 17.13
ΔH_f (0 K) in eV/atom: -0.621
Total DFT energy (no corrections) in eV/atom: -5.25

First-principles (PBE) data for crystalline PrBe2Pd2Au at its relaxed geometry, as listed in Alexandria.

The structure in CIF format:
```
data_PrBe2Pd2Au
_chemical_formula_sum 'Pr1 Be2 Pd2 Au1'
_symmetry_space_group_name_H-M 'P 4/m m m'
_symmetry_Int_Tables_number 123
_symmetry_space_group_name_Hall '-P 4 2'
_cell_length_a 4.324
_cell_length_b 4.324
_cell_length_c 5.740
_cell_angle_alpha 90.00
_cell_angle_beta 90.00
_cell_angle_gamma 90.00
loop_
_atom_site_label
_atom_site_type_symbol
_atom_site_fract_x
_atom_site_fract_y
_atom_site_fract_z
Pr1 Pr 0.000 0.000 0.000
Be1 Be 0.000 0.500 0.500
Pd1 Pd 0.500 0.500 0.255
Au1 Au 0.000 0.000 0.500
```

Volume in Å³ per atom: 17.89
ΔH_f (0 K) in eV/atom: -0.299
Total DFT energy (no corrections) in eV/atom: -4.61

First-principles (PBE) data for crystalline Be2PdPtAu at its relaxed geometry, as listed in Alexandria.

The structure in CIF format:
```
data_Be2PdPtAu
_chemical_formula_sum 'Be2 Pd1 Pt1 Au1'
_symmetry_space_group_name_H-M 'P 4/m m m'
_symmetry_Int_Tables_number 123
_symmetry_space_group_name_Hall '-P 4 2'
_cell_length_a 4.197
_cell_length_b 4.197
_cell_length_c 4.962
_cell_angle_alpha 90.00
_cell_angle_beta 90.00
_cell_angle_gamma 90.00
loop_
_atom_site_label
_atom_site_type_symbol
_atom_site_fract_x
_atom_site_fract_y
_atom_site_fract_z
Be1 Be 0.000 0.500 0.000
Pd1 Pd 0.000 0.000 0.500
Pt1 Pt 0.500 0.500 0.500
Au1 Au 0.000 0.000 0.000
```

Volume in Å³ per atom: 17.48
ΔH_f (0 K) in eV/atom: 0.778
Total DFT energy (no corrections) in eV/atom: -3.61